This record from Alexandria describes a relaxed structure of Ga2AgPd2. The functional is GGA-PBEsol.

Cell: 7.2903 7.2903 2.8542 Å, 90.00 90.00 90.00°
Last column: nearest neighbours and their distance in Å.
Element x y z (fractional)
Ga1 0.1587 0.3413 0.0000  6 Pd 2.52-2.60
Ga2 0.3413 0.8413 0.0000  6 Pd 2.52-2.60
Ga3 0.6587 0.1587 0.0000  6 Pd 2.52-2.60
Ga4 0.8413 0.6587 0.0000  6 Pd 2.52-2.60
Ag1 0.0000 0.0000 0.5000  4 Pd 2.82, 2 Ag 2.85, 8 Ga 3.09
Ag2 0.5000 0.5000 0.5000  4 Pd 2.82, 2 Ag 2.85, 8 Ga 3.09
Pd1 0.1394 0.6394 0.5000  6 Ga 2.52-2.60, 2 Ag 2.82
Pd2 0.3606 0.1394 0.5000  6 Ga 2.52-2.60, 2 Ag 2.82
Pd3 0.6394 0.8606 0.5000  6 Ga 2.52-2.60, 2 Ag 2.82
Pd4 0.8606 0.3606 0.5000  6 Ga 2.52-2.60, 2 Ag 2.82

Calculated values
Spin magnetization ... 0.000 μB per formula unit
Space-group type ... P4/mbm, No. 127
Energy of formation ... -2.35 eV/f.u.